# 1
First-principles (PBE-GGA) data for AlInAu6 after structural relaxation, as listed in the Alexandria database. Values from VASP.

The structure in Quantum ESPRESSO input format:
```
&SYSTEM
  ibrav = 0, nat = 8, ntyp = 3
/
ATOMIC_SPECIES
Al 26.98 Al.upf
In 114.82 In.upf
Au 196.97 Au.upf
ATOMIC_POSITIONS crystal
Al 0.000 0.000 0.000
In 0.500 0.500 0.000
Au 0.115 0.679 0.755
Au 0.278 0.279 0.526
Au 0.322 0.886 0.245
Au 0.678 0.114 0.755
Au 0.722 0.721 0.474
Au 0.885 0.321 0.245
CELL_PARAMETERS angstrom
5.144 0.000 0.000
0.007 5.154 0.000
2.311 2.311 5.642
```

Results
**SG**: No. 2
**Energy above the most stable polymorph in this dataset**: 0.0 kJ per mole of atoms

***

# 2
First-principles (PBE-GGA) data for LiPuBiAu after structural relaxation, as listed in the Alexandria database. Values from VASP.

The structure in Quantum ESPRESSO input format:
```
&SYSTEM
  ibrav = 0, nat = 4, ntyp = 4
/
ATOMIC_SPECIES
Li 6.94 Li.upf
Pu 244.00 Pu.upf
Bi 208.98 Bi.upf
Au 196.97 Au.upf
ATOMIC_POSITIONS crystal
Li 0.000 0.000 0.000
Pu 0.750 0.750 0.750
Bi 0.250 0.250 0.250
Au 0.500 0.500 0.500
CELL_PARAMETERS angstrom
0.000 3.597 3.597
3.597 0.000 3.597
3.597 3.597 0.000
```

Results
**SG**: No. 216

***

no.,DOS at the Fermi energy (states/eV/cell),ΔH_f (0 K) (eV per atom),mass density (g cm⁻³)
1,2.13,-0.148,14.70
2,15.48,-0.261,11.71